A plane-wave DFT calculation with GGA-PBE was carried out for an optimized crystal structure of CsHgNF2.

distance to the lowest polymorph of the same formula	0.919	eV per atom
electronic total energy	-2.437	eV per atom
SG	No. 123

Unit cell a=5.2241 b=5.2241 c=4.9961 alpha=90.00 beta=90.00 gamma=90.00
Each line ends with the local moment (μB).
Sites, in units of the cell vectors:
Cs  0.0000  0.0000  0.0000  0.02
N  0.0000  0.0000  0.5000  1.53
Hg  0.5000  0.5000  0.5000  -0.12
F  0.0000  0.5000  0.0000  -0.21
F  0.5000  0.0000  0.0000  -0.21